Computed, not measured: La2CoOs after structural relaxation at the PBEsol level of DFT.

Calculated values
Formation energy from the elements (kJ per mole of atoms): -4
Total magnetic moment (μB/f.u.): 0.84
DOS(E_F) (states/eV per atom): 1.645

a b c (Å): 7.386 7.386 7.386
angles (deg): 32.35 32.35 32.35
Element x y z (fractional)
1 La 0.000 0.000 0.000
2 La 0.178 0.178 0.178
3 Co 0.421 0.421 0.421
4 Os 0.757 0.757 0.757